[1]
VASP calculation (PBE) on a relaxed Mg5Cl3F12 crystal.

The space group is Ia-3d (No. 230) and the conventional cell measures 13.526, 13.526 and 13.526 Å, with angles of 90.00, 90.00 and 90.00 degrees. The inequivalent atoms are Mg at (0.000, 0.000, 0.000), Mg at (0.000, 0.250, 0.375), Cl at (0.000, 0.250, 0.125) and F at (0.024, 0.144, 0.965).

Its energy is -667.80 eV/cell.

[2]
VASP calculation (PBE) on a relaxed Si2Ru2Au crystal.

The space group is P4/mbm (No. 127) and the conventional cell measures 7.013, 7.013 and 2.862 Å, with angles of 90.00, 90.00 and 90.00 degrees. The inequivalent atoms are Si at (0.143, 0.357, 0.000), Ru at (0.150, 0.650, 0.500) and Au at (0.000, 0.000, 0.000).

As for the excess energy over the best structure of this formula in the dataset: 0.000 eV/atom.

[3]
VASP calculation (PBE) on a relaxed Cs2Ge2As3 crystal.

The space group is P-1 (No. 2) and the conventional cell measures 3.780, 7.182 and 8.669 Å, with angles of 109.37, 90.03 and 105.18 degrees. The inequivalent atoms are Cs at (0.100, 0.204, 0.375), Ge at (0.138, 0.278, 0.964), As at (0.314, 0.624, 0.204) and As at (0.500, 0.000, 0.000).

The calculation puts the formation energy at -0.159 eV per atom.

[4]
VASP calculation (PBE) on a relaxed Sc2VGeN crystal.

The space group is P4/mmm (No. 123) and the conventional cell measures 4.426, 4.426 and 3.902 Å, with angles of 90.00, 90.00 and 90.00 degrees. The inequivalent atoms are Sc at (0.000, 0.500, 0.000), V at (0.000, 0.000, 0.500), Ge at (0.500, 0.500, 0.500) and N at (0.000, 0.000, 0.000).

Its energy is -39.47 eV/cell.